*P*
Material: GaOsSN2
Method: DFT, PBE-GGA
State: relaxed

Lattice parameters (Å, degrees): 3.6660 3.6660 5.5794 90.00 90.00 90.00
With the nearest neighbours (Å) after each atom.
Fractional coordinates of all 5 atoms:
S 0.0000 0.0000 0.5000  4 Os 2.59, 2 Ga 2.79
Ga 0.0000 0.0000 0.0000  4 N 1.83
N 0.5000 0.0000 0.0000  2 Ga 1.83
N 0.0000 0.5000 0.0000  2 Ga 1.83
Os 0.5000 0.5000 0.5000  4 S 2.59

Output
The calculation puts the volume at 75.0 Å³/cell. As for the total magnetization: 3.882 μB/cell. As for the space group: P4/mmm (123).



*Q*
Material: GaOsSN2
Method: DFT, PBE-GGA
State: relaxed

Lattice parameters (Å, degrees): 3.7991 3.7991 5.2035 90.00 90.00 90.00
With the nearest neighbours (Å) after each atom.
Fractional coordinates of all 5 atoms:
Os 0.0000 0.0000 0.0000  4 N 1.90
N 0.0000 0.5000 0.0000  2 Os 1.90
N 0.5000 0.0000 0.0000  2 Os 1.90
S 0.0000 0.0000 0.5000  2 Os 2.60, 4 Ga 2.69
Ga 0.5000 0.5000 0.5000  4 S 2.69

Output
The calculation puts the volume at 75.1 Å³/cell. As for the total magnetization: 0.339 μB/cell. As for the space group: P4/mmm (123).



Pick *Q*: it beats the second-best structure by 1354 meV per atom.



*P*
Material: GaOsSN
Method: DFT, PBE-GGA
State: relaxed

Lattice parameters (Å, degrees): 2.9264 4.3584 5.0354 68.81 74.16 89.89
With the nearest neighbours (Å) after each atom.
Fractional coordinates of all 4 atoms:
N 0.3660 0.5720 0.8483  1 S 1.73
S 0.2400 0.7387 0.1213  1 N 1.73
Ga 0.5376 0.0751 0.5218  1 N 2.17
Os 0.8165 0.1910 0.9512  2 N 2.12-2.13, 2 S 2.34-2.35

Output
The calculation puts the volume at 57.3 Å³/cell. As for the total magnetization: 0.000 μB/cell. As for the space group: P1 (1).



*Q*
Material: GaOsSN
Method: DFT, PBE-GGA
State: relaxed

Lattice parameters (Å, degrees): 4.5415 2.9325 5.2849 90.00 98.19 90.00
With the nearest neighbours (Å) after each atom.
Fractional coordinates of all 4 atoms:
Ga 0.7532 0.5000 0.4200  1 N 1.88
N 0.7596 0.5000 0.0651  1 Ga 1.88, 2 Os 1.96
Os 0.7201 0.0000 0.8174  2 N 1.96
S 0.2096 0.0000 0.6782  2 Os 2.33-2.44

Output
The calculation puts the volume at 69.7 Å³/cell. As for the total magnetization: 0.000 μB/cell. As for the space group: Pm (6).



Pick *Q*: it beats the second-best structure by 72 meV per atom.



*P*
Material: GaOsSN
Method: DFT, PBE-GGA
State: relaxed

Lattice parameters (Å, degrees): 5.3682 3.1075 8.1701 90.00 127.84 90.00
With the nearest neighbours (Å) after each atom.
Fractional coordinates of all 8 atoms:
Ga 0.0290 0.5000 0.6037  1 N 1.92
Ga 0.0290 0.0000 0.1037  1 N 1.92
Os 0.4362 0.0000 0.8954  1 N 2.12
Os 0.4362 0.5000 0.3954  1 N 2.12
S 0.6255 0.0000 0.6810  1 N 1.65
S 0.6255 0.5000 0.1810  1 N 1.65
N 0.0124 0.0000 0.8618  1 S 1.65
N 0.0124 0.5000 0.3618  1 S 1.65

Output
The calculation puts the volume at 107.6 Å³/cell. As for the total magnetization: 0.000 μB/cell. As for the space group: Cm (8).



*Q*
Material: GaOsSN
Method: DFT, PBE-GGA
State: relaxed

Lattice parameters (Å, degrees): 3.0145 3.7268 11.7723 90.00 90.00 90.00
With the nearest neighbours (Å) after each atom.
Fractional coordinates of all 8 atoms:
Ga 0.0000 0.5000 0.1596  2 S 2.34, 2 Os 2.55
Ga 0.5000 0.0000 0.6596  2 S 2.34, 2 Os 2.55
Os 0.0000 0.0000 0.8342  2 N 1.86
Os 0.5000 0.5000 0.3342  2 N 1.86
S 0.0000 0.0000 0.0398  2 Ga 2.34, 1 Os 2.42
S 0.5000 0.5000 0.5398  2 Ga 2.34, 1 Os 2.42
N 0.0000 0.5000 0.8328  2 Os 1.86
N 0.5000 0.0000 0.3328  2 Os 1.86

Output
The calculation puts the volume at 132.3 Å³/cell. As for the total magnetization: 0.000 μB/cell. As for the space group: Imm2 (44).



*R*
Material: GaOsSN
Method: DFT, PBE-GGA
State: relaxed

Lattice parameters (Å, degrees): 5.0642 2.8070 5.3200 90.00 112.75 90.00
With the nearest neighbours (Å) after each atom.
Fractional coordinates of all 4 atoms:
Os 0.5785 0.5000 0.6231  2 N 1.96
Ga 0.2814 0.0000 0.8399  1 N 1.94
S 0.2543 0.0000 0.2847  2 Os 2.37, 1 Ga 2.42
N 0.8666 0.0000 0.6756  1 Ga 1.94, 2 Os 1.96

Output
The calculation puts the volume at 69.7 Å³/cell. As for the total magnetization: 0.000 μB/cell. As for the space group: Pm (6).



Pick *Q*: it beats the second-best structure by 137 meV per atom.



*P*
Material: GaOsSN
Method: DFT, PBE-GGA
State: relaxed

Lattice parameters (Å, degrees): 3.6766 3.7499 9.7537 90.00 90.00 90.00
With the nearest neighbours (Å) after each atom.
Fractional coordinates of all 8 atoms:
Os 0.5000 0.0000 0.9850  2 N 1.88
Os 0.5000 0.5000 0.4850  2 N 1.88
Ga 0.0000 0.0000 0.7954  2 S 2.39, 2 Os 2.61
Ga 0.0000 0.5000 0.2954  2 S 2.39, 2 Os 2.61
N 0.5000 0.5000 0.9790  2 Os 1.88
N 0.5000 0.0000 0.4790  2 Os 1.88
S 0.0000 0.0000 0.1431  2 Ga 2.39, 2 Os 2.40
S 0.0000 0.5000 0.6431  2 Ga 2.39, 2 Os 2.40

Output
The calculation puts the volume at 134.5 Å³/cell. As for the total magnetization: 0.000 μB/cell. As for the space group: Amm2 (38).



*Q*
Material: GaOsSN
Method: DFT, PBE-GGA
State: relaxed

Lattice parameters (Å, degrees): 4.6475 3.3709 4.7794 90.00 104.69 90.00
With the nearest neighbours (Å) after each atom.
Fractional coordinates of all 4 atoms:
N 0.2710 0.5000 0.2854  2 Os 1.91, 1 Ga 1.95
S 0.7070 0.0000 0.9341  2 Os 2.33-2.54, 2 Ga 2.41
Os 0.2240 0.0000 0.0928  2 N 1.91
Ga 0.3554 0.5000 0.7069  1 N 1.95

Output
The calculation puts the volume at 72.4 Å³/cell. As for the total magnetization: 0.000 μB/cell. As for the space group: Pm (6).



Pick *P*: it beats the second-best structure by 142 meV per atom.



*P*
Material: GaOsSeN2
Method: DFT, PBE-GGA
State: relaxed

Lattice parameters (Å, degrees): 3.7068 3.7068 5.9971 90.00 90.00 90.00
With the nearest neighbours (Å) after each atom.
Fractional coordinates of all 5 atoms:
N 0.5000 0.0000 0.0000  2 Ga 1.85
N 0.0000 0.5000 0.0000  2 Ga 1.85
Os 0.5000 0.5000 0.5000  4 Se 2.62
Ga 0.0000 0.0000 0.0000  4 N 1.85
Se 0.0000 0.0000 0.5000  4 Os 2.62

Output
The calculation puts the volume at 82.4 Å³/cell. As for the total magnetization: 4.108 μB/cell. As for the space group: P4/mmm (123).



*Q*
Material: GaOsSeN2
Method: DFT, PBE-GGA
State: relaxed

Lattice parameters (Å, degrees): 3.8217 3.8217 5.4344 90.00 90.00 90.00
With the nearest neighbours (Å) after each atom.
Fractional coordinates of all 5 atoms:
N 0.5000 0.0000 0.0000  2 Os 1.91
N 0.0000 0.5000 0.0000  2 Os 1.91
Se 0.0000 0.0000 0.5000  4 Ga 2.70, 2 Os 2.72
Os 0.0000 0.0000 0.0000  4 N 1.91
Ga 0.5000 0.5000 0.5000  4 Se 2.70

Output
The calculation puts the volume at 79.4 Å³/cell. As for the total magnetization: 0.008 μB/cell. As for the space group: P4/mmm (123).



Pick *Q*: it beats the second-best structure by 1354 meV per atom.



*P*
Material: GaTe2OsN
Method: DFT, PBE-GGA
State: relaxed

Lattice parameters (Å, degrees): 5.4098 5.4098 3.4571 90.00 90.00 90.00
With the nearest neighbours (Å) after each atom.
Fractional coordinates of all 5 atoms:
N 0.0000 0.0000 0.5000  2 Ga 1.73
Os 0.5000 0.5000 0.5000  8 Te 3.21, 2 Os 3.46
Te 0.0000 0.5000 0.0000  2 Ga 2.70
Te 0.5000 0.0000 0.0000  2 Ga 2.70
Ga 0.0000 0.0000 0.0000  2 N 1.73

Output
The calculation puts the volume at 101.2 Å³/cell. As for the total magnetization: 0.982 μB/cell. As for the space group: P4/mmm (123).



*Q*
Material: GaTe2OsN
Method: DFT, PBE-GGA
State: relaxed

Lattice parameters (Å, degrees): 5.5569 5.5569 3.6708 90.00 90.00 90.00
With the nearest neighbours (Å) after each atom.
Fractional coordinates of all 5 atoms:
Os 0.0000 0.0000 0.0000  2 N 1.84
N 0.0000 0.0000 0.5000  2 Os 1.84
Te 0.5000 0.0000 0.0000  2 Os 2.78
Te 0.0000 0.5000 0.0000  2 Os 2.78
Ga 0.5000 0.5000 0.5000  8 Te 3.33, 2 Ga 3.67

Output
The calculation puts the volume at 113.4 Å³/cell. As for the total magnetization: 0.000 μB/cell. As for the space group: P4/mmm (123).



Pick *Q*: it beats the second-best structure by 1077 meV per atom.